Entry 1:
FeSi5: relaxed, PBE.

a = 2.703 Å, b = 2.703 Å, c = 10.789 Å
α = 90.00°, β = 90.00°, γ = 90.00°
Fractional coordinates of all 6 atoms:
Fe  0.000  0.000  0.000
Si  0.000  0.000  0.315
Si  0.000  0.000  0.685
Si  0.500  0.500  0.133
Si  0.500  0.500  0.500
Si  0.500  0.500  0.867

Computed properties:
**V**: 13.137 Å³/atom
**Raw formation energy**: 201 meV per atom
**Symmetry**: P4/mmm (123)
**Distance to the lowest polymorph of the same formula**: 0.003 eV/atom
**Total moment**: 0.0 Bohr magnetons per cell

Entry 2:
Th4Os: relaxed, PBE.

a = 7.797 Å, b = 7.797 Å, c = 7.797 Å
α = 60.00°, β = 60.00°, γ = 60.00°
Fractional coordinates of all 10 atoms:
Th  0.210  0.763  0.763
Th  0.237  0.237  0.237
Th  0.237  0.237  0.790
Th  0.237  0.790  0.237
Th  0.763  0.210  0.763
Th  0.763  0.763  0.210
Th  0.763  0.763  0.763
Th  0.790  0.237  0.237
Os  0.375  0.375  0.375
Os  0.625  0.625  0.625

Computed properties:
**V**: 33.514 Å³/atom
**E_form**: 0.38 eV/atom
**Symmetry**: Fd-3m (227)
**Distance to the lowest polymorph of the same formula**: 0.450 eV/atom
**Total moment**: 0.0 Bohr magnetons per cell

Entry 3:
BeSn2Ge2: relaxed, PBE.

a = 6.100 Å, b = 6.100 Å, c = 5.774 Å
α = 90.00°, β = 90.00°, γ = 90.00°
Fractional coordinates of all 10 atoms:
Be  0.000  0.000  0.000
Be  0.500  0.500  0.000
Sn  0.198  0.302  0.500
Sn  0.302  0.802  0.500
Sn  0.698  0.198  0.500
Sn  0.802  0.698  0.500
Ge  0.148  0.352  0.000
Ge  0.352  0.852  0.000
Ge  0.648  0.148  0.000
Ge  0.852  0.648  0.000

Computed properties:
**V**: 21.483 Å³/atom
**E_form**: 0.24 eV/atom
**Symmetry**: P4/mbm (127)
**Distance to the lowest polymorph of the same formula**: 0.000 eV/atom
**Total moment**: 0.0 Bohr magnetons per cell

Entry 4:
SbOs2Br: relaxed, PBE.

a = 6.860 Å, b = 6.860 Å, c = 6.860 Å
α = 155.23°, β = 143.85°, γ = 44.32°
Fractional coordinates of all 4 atoms:
Sb  0.000  0.000  0.000
Os  0.588  0.588  0.000
Os  0.755  0.255  0.500
Br  0.292  0.792  0.500

Computed properties:
**V**: 19.899 Å³/atom
**Raw formation energy**: 975 meV per atom
**Symmetry**: Imm2 (44)
**Distance to the lowest polymorph of the same formula**: 0.549 eV/atom
**Total moment**: 0.0 Bohr magnetons per cell

Entry 5:
SrSbPb2: relaxed, PBE.

a = 5.004 Å, b = 4.328 Å, c = 6.786 Å
α = 90.00°, β = 110.24°, γ = 90.00°
Fractional coordinates of all 4 atoms:
Sr  0.000  0.000  0.000
Sb  0.535  0.500  0.088
Pb  0.360  0.500  0.597
Pb  0.785  0.000  0.451

Computed properties:
**V**: 34.470 Å³/atom
**Raw formation energy**: -388 meV per atom
**Symmetry**: Pm (6)
**Total moment**: 0.0 Bohr magnetons per cell

Entry 6:
ReHg2Te: relaxed, PBE.

a = 3.328 Å, b = 5.638 Å, c = 4.644 Å
α = 90.00°, β = 91.20°, γ = 90.00°
Fractional coordinates of all 4 atoms:
Re  0.000  0.000  0.000
Hg  0.239  0.500  0.245
Hg  0.761  0.500  0.755
Te  0.500  0.000  0.500

Computed properties:
**V**: 21.780 Å³/atom
**Raw formation energy**: 897 meV per atom
**Symmetry**: P2/m (10)
**Distance to the lowest polymorph of the same formula**: 0.492 eV/atom
**Total moment**: 1.1 Bohr magnetons per cell

Entry 7:
LiZrBr: relaxed, PBE.

a = 3.440 Å, b = 3.440 Å, c = 12.914 Å
α = 92.76°, β = 92.76°, γ = 61.37°
Fractional coordinates of all 6 atoms:
Li  0.184  0.184  0.095
Li  0.816  0.816  0.905
Zr  0.221  0.221  0.405
Zr  0.779  0.779  0.595
Br  0.467  0.467  0.754
Br  0.533  0.533  0.246

Computed properties:
**V**: 22.315 Å³/atom
**Raw formation energy**: -594 meV per atom
**Symmetry**: C2/m (12)
**Distance to the lowest polymorph of the same formula**: 0.151 eV/atom
**Total moment**: 0.0 Bohr magnetons per cell

Entry 8:
KNbF2: relaxed, PBE.

a = 8.384 Å, b = 8.384 Å, c = 8.384 Å
α = 21.23°, β = 21.23°, γ = 21.23°
Fractional coordinates of all 4 atoms:
K  0.000  0.000  0.000
Nb  0.500  0.500  0.500
F  0.102  0.102  0.102
F  0.898  0.898  0.898

Computed properties:
**V**: 16.928 Å³/atom
**Raw formation energy**: -1272 meV per atom
**Symmetry**: R-3m (166)
**Distance to the lowest polymorph of the same formula**: 0.550 eV/atom
**Total moment**: 0.0 Bohr magnetons per cell

Entry 9:
Re3AuSe: relaxed, PBE.

a = 4.530 Å, b = 4.530 Å, c = 4.530 Å
α = 90.00°, β = 90.00°, γ = 90.00°
Fractional coordinates of all 5 atoms:
Re  0.000  0.000  0.500
Re  0.000  0.500  0.000
Re  0.500  0.000  0.000
Au  0.500  0.500  0.500
Se  0.000  0.000  0.000

Computed properties:
**V**: 18.593 Å³/atom
**Raw formation energy**: 1737 meV per atom
**Symmetry**: Pm-3m (221)
**Distance to the lowest polymorph of the same formula**: 0.000 eV/atom
**Total moment**: 0.0 Bohr magnetons per cell

Entry 10:
La4Sm2YSc: relaxed, PBE.

a = 5.177 Å, b = 5.215 Å, c = 10.030 Å
α = 90.00°, β = 90.00°, γ = 90.00°
Fractional coordinates of all 8 atoms:
La  0.000  0.000  0.244
La  0.000  0.000  0.756
La  0.500  0.500  0.245
La  0.500  0.500  0.755
Sm  0.000  0.500  0.000
Sm  0.500  0.000  0.500
Y  0.000  0.500  0.500
Sc  0.500  0.000  0.000

Computed properties:
**V**: 33.849 Å³/atom
**E_form**: 0.03 eV/atom
**Symmetry**: Pmmm (47)
**Total moment**: 0.0 Bohr magnetons per cell

Entry 11:
MgPdS: relaxed, PBE.

a = 5.680 Å, b = 6.736 Å, c = 5.347 Å
α = 90.00°, β = 90.00°, γ = 90.00°
Fractional coordinates of all 12 atoms:
Mg  0.164  0.250  0.160
Mg  0.336  0.750  0.660
Mg  0.664  0.250  0.340
Mg  0.836  0.750  0.840
Pd  0.205  0.750  0.173
Pd  0.295  0.250  0.673
Pd  0.705  0.750  0.327
Pd  0.795  0.250  0.827
S  0.000  0.000  0.500
S  0.000  0.500  0.500
S  0.500  0.000  0.000
S  0.500  0.500  0.000

Computed properties:
**V**: 17.050 Å³/atom
**Raw formation energy**: -543 meV per atom
**Symmetry**: Pnma (62)
**Total moment**: 0.0 Bohr magnetons per cell

Entry 12:
Na2Sr2Tl15: relaxed, PBE.

a = 8.602 Å, b = 8.602 Å, c = 8.602 Å
α = 80.90°, β = 80.90°, γ = 80.90°
Fractional coordinates of all 19 atoms:
Na  0.106  0.106  0.106
Na  0.894  0.894  0.894
Sr  0.355  0.355  0.355
Sr  0.645  0.645  0.645
Tl  0.000  0.000  0.500
Tl  0.000  0.292  0.708
Tl  0.000  0.500  0.000
Tl  0.000  0.708  0.292
Tl  0.147  0.635  0.635
Tl  0.292  0.000  0.708
Tl  0.292  0.708  0.000
Tl  0.365  0.365  0.853
Tl  0.365  0.853  0.365
Tl  0.500  0.000  0.000
Tl  0.635  0.147  0.635
Tl  0.635  0.635  0.147
Tl  0.708  0.000  0.292
Tl  0.708  0.292  0.000
Tl  0.853  0.365  0.365

Computed properties:
**V**: 32.357 Å³/atom
**E_form**: -0.07 eV/atom
**Symmetry**: R-3m (166)
**Total moment**: 0.0 Bohr magnetons per cell

Entry 13:
TbEuCdPd: relaxed, PBE.

a = 5.225 Å, b = 5.225 Å, c = 5.225 Å
α = 60.00°, β = 60.00°, γ = 60.00°
Fractional coordinates of all 4 atoms:
Tb  0.000  0.000  0.000
Eu  0.500  0.500  0.500
Cd  0.750  0.750  0.750
Pd  0.250  0.250  0.250

Computed properties:
**V**: 25.217 Å³/atom
**E_form**: -0.47 eV/atom
**Symmetry**: F-43m (216)
**Total moment**: 7.0 Bohr magnetons per cell

Entry 14:
AlAg3: relaxed, PBE.

a = 8.653 Å, b = 8.653 Å, c = 8.653 Å
α = 153.00°, β = 151.93°, γ = 39.34°
Fractional coordinates of all 8 atoms:
Al  0.315  0.065  0.250
Al  0.685  0.935  0.750
Ag  0.064  0.814  0.250
Ag  0.192  0.442  0.750
Ag  0.433  0.683  0.750
Ag  0.567  0.317  0.250
Ag  0.808  0.558  0.250
Ag  0.936  0.186  0.750

Computed properties:
**V**: 17.274 Å³/atom
**E_form**: -0.04 eV/atom
**Symmetry**: Imma (74)
**Total moment**: 0.0 Bohr magnetons per cell

Entry 15:
MgTi2Co2: relaxed, PBE.

a = 5.690 Å, b = 5.690 Å, c = 5.690 Å
α = 138.66°, β = 138.66°, γ = 59.89°
Fractional coordinates of all 5 atoms:
Mg  0.000  0.000  0.000
Ti  0.250  0.750  0.500
Ti  0.750  0.250  0.500
Co  0.387  0.387  0.000
Co  0.613  0.613  0.000

Computed properties:
**V**: 15.910 Å³/atom
**E_form**: -0.13 eV/atom
**Symmetry**: I4/mmm (139)
**Total moment**: 0.0 Bohr magnetons per cell

Entry 16:
BeZnTe2: relaxed, PBE.

a = 5.276 Å, b = 5.276 Å, c = 4.905 Å
α = 105.49°, β = 105.49°, γ = 90.03°
Fractional coordinates of all 4 atoms:
Be  0.000  0.000  0.000
Zn  0.500  0.500  0.000
Te  0.000  0.500  0.000
Te  0.500  0.000  0.000

Computed properties:
**V**: 31.598 Å³/atom
**Raw formation energy**: 257 meV per atom
**Symmetry**: C2/m (12)
**Distance to the lowest polymorph of the same formula**: 0.664 eV/atom
**Total moment**: 0.0 Bohr magnetons per cell

Entry 17:
Ti5SnC: relaxed, PBE.

a = 5.595 Å, b = 5.595 Å, c = 5.595 Å
α = 131.95°, β = 117.40°, γ = 82.61°
Fractional coordinates of all 7 atoms:
Ti  0.000  0.000  0.000
Ti  0.077  0.328  0.749
Ti  0.421  0.672  0.749
Ti  0.579  0.328  0.251
Ti  0.923  0.672  0.251
Sn  0.500  0.000  0.500
C  0.000  0.500  0.500

Computed properties:
**V**: 15.901 Å³/atom
**E_form**: -0.34 eV/atom
**Symmetry**: Immm (71)
**Total moment**: 0.0 Bohr magnetons per cell

Entry 18:
LaLuBeZn: relaxed, PBE.

a = 5.041 Å, b = 5.041 Å, c = 5.041 Å
α = 60.00°, β = 60.00°, γ = 60.00°
Fractional coordinates of all 4 atoms:
La  0.000  0.000  0.000
Lu  0.500  0.500  0.500
Be  0.250  0.250  0.250
Zn  0.750  0.750  0.750

Computed properties:
**V**: 22.639 Å³/atom
**E_form**: -0.05 eV/atom
**Symmetry**: F-43m (216)
**Total moment**: 0.0 Bohr magnetons per cell

Entry 19:
Sm2AgHg8: relaxed, PBE.

a = 9.085 Å, b = 9.085 Å, c = 6.860 Å
α = 109.62°, β = 109.62°, γ = 31.01°
Fractional coordinates of all 11 atoms:
Sm  0.209  0.209  0.200
Sm  0.791  0.791  0.800
Ag  0.500  0.500  0.500
Hg  0.010  0.010  0.229
Hg  0.164  0.164  0.679
Hg  0.363  0.363  0.631
Hg  0.383  0.383  0.088
Hg  0.617  0.617  0.912
Hg  0.637  0.637  0.369
Hg  0.836  0.836  0.321
Hg  0.990  0.990  0.771

Computed properties:
**V**: 24.863 Å³/atom
**E_form**: -0.22 eV/atom
**Symmetry**: C2/m (12)
**Distance to the lowest polymorph of the same formula**: 0.034 eV/atom
**Total moment**: 0.0 Bohr magnetons per cell

Entry 20:
NdBRh: relaxed, PBE.

a = 6.511 Å, b = 6.511 Å, c = 6.511 Å
α = 41.36°, β = 41.36°, γ = 41.36°
Fractional coordinates of all 6 atoms:
Nd  0.105  0.105  0.105
Nd  0.895  0.895  0.895
B  0.266  0.266  0.266
B  0.734  0.734  0.734
Rh  0.375  0.375  0.375
Rh  0.625  0.625  0.625

Computed properties:
**V**: 18.149 Å³/atom
**E_form**: -0.14 eV/atom
**Symmetry**: R-3m (166)
**Distance to the lowest polymorph of the same formula**: 0.421 eV/atom
**Total moment**: 0.0 Bohr magnetons per cell